(1)
A plane-wave DFT calculation with PBE was carried out for a relaxed structure of ThPaNi2P2.

As for the formation energy: -1.1637 eV per atom. As for the calculated total energy: -7.713 eV per atom. The total magnetization comes out at 0.00 μB/cell.

The structure belongs to space group P-3m1 (No. 164); the cell edges are 3.9205, 3.9205 and 7.9530 Å and the angles 90.00°, 90.00° and 120.00°. The inequivalent atoms are Th at (0.0000, 0.0000, 0.0000), Pa at (0.0000, 0.0000, 0.5000), Ni at (0.3333, 0.6667, 0.7289) and P at (0.3333, 0.6667, 0.2568).

=====

(2)
A plane-wave DFT calculation with PBE was carried out for a relaxed structure of CeTm4S6.

The uncorrected formation energy comes out at -2.0129 eV per atom. As for the calculated total energy: -6.430 eV per atom. The total magnetization comes out at 4.20 μB/cell.

The structure belongs to space group Cmcm (No. 63); the cell edges are 3.842, 12.725 and 19.555 Å and the angles 90.00°, 90.00° and 90.00°. The inequivalent atoms are Ce at (0.000, 0.155, 0.250), Tm at (0.000, 0.092, 0.626), Tm at (0.000, 0.361, 0.540), S at (0.000, 0.000, 0.000), S at (0.000, 0.182, 0.750), S at (0.000, 0.268, 0.088) and S at (0.000, 0.456, 0.664).

=====

(3)
A plane-wave DFT calculation with PBE was carried out for a relaxed structure of Tm5Si3C.

The uncorrected formation energy comes out at -0.6406 eV per atom. As for the calculated total energy: -5.957 eV per atom. The total magnetization comes out at 0.00 μB/cell.

The structure belongs to space group P6_3/mcm (No. 193); the cell edges are 8.3113, 8.3113 and 6.3154 Å and the angles 90.00°, 90.00° and 120.00°. The inequivalent atoms are Tm at (0.0000, 0.2228, 0.2500), Tm at (0.3333, 0.6667, 0.0000), Si at (0.0000, 0.4105, 0.7500) and C at (0.0000, 0.0000, 0.0000).

=====

(4)
A plane-wave DFT calculation with PBE was carried out for a relaxed structure of CuMoP3.

As for the formation energy: 0.7434 eV per atom. The excess energy over the best structure of this formula in the dataset is 0.00 kcal/mol of atoms. As for the calculated total energy: -5.488 eV per atom. The total magnetization comes out at 0.00 μB/cell.

The structure belongs to space group Pm-3m (No. 221); the cell edges are 4.673, 4.673 and 4.673 Å and the angles 90.00°, 90.00° and 90.00°. The inequivalent atoms are Cu at (0.000, 0.000, 0.000), Mo at (0.500, 0.500, 0.500) and P at (0.000, 0.500, 0.500).

=====

(5)
A plane-wave DFT calculation with PBE was carried out for a relaxed structure of LaCe2Hf.

As for the formation energy: 0.1382 eV per atom. The excess energy over the best structure of this formula in the dataset is 0.00 kcal/mol of atoms. As for the calculated total energy: -6.549 eV per atom. The total magnetization comes out at 0.00 μB/cell.

The structure belongs to space group P4/mmm (No. 123); the cell edges are 3.281, 3.281 and 10.234 Å and the angles 90.00°, 90.00° and 90.00°. The inequivalent atoms are La at (0.000, 0.000, 0.000), Ce at (0.500, 0.500, 0.267) and Hf at (0.000, 0.000, 0.500).

=====

(6)
A plane-wave DFT calculation with PBE was carried out for a relaxed structure of NaCe3As4.

As for the formation energy: -1.0716 eV per atom. As for the calculated total energy: -5.786 eV per atom. The total magnetization comes out at 1.16 μB/cell.

The structure belongs to space group Pm-3m (No. 221); the cell edges are 5.947, 5.947 and 5.947 Å and the angles 90.00°, 90.00° and 90.00°. The inequivalent atoms are Na at (0.000, 0.000, 0.000), Ce at (0.000, 0.500, 0.500), As at (0.000, 0.000, 0.500) and As at (0.500, 0.500, 0.500).

=====

(7)
A plane-wave DFT calculation with PBE was carried out for a relaxed structure of SbIr3Pt.

The uncorrected formation energy comes out at 1.7451 eV per atom. The excess energy over the best structure of this formula in the dataset is 0.00 kcal/mol of atoms. As for the calculated total energy: -5.604 eV per atom. The total magnetization comes out at 3.14 μB/cell.

The structure belongs to space group Pm-3m (No. 221); the cell edges are 4.826, 4.826 and 4.826 Å and the angles 90.00°, 90.00° and 90.00°. The inequivalent atoms are Sb at (0.000, 0.000, 0.000), Ir at (0.000, 0.500, 0.500) and Pt at (0.500, 0.500, 0.500).

=====

(8)
A plane-wave DFT calculation with PBE was carried out for a relaxed structure of Y3Te2S.

The uncorrected formation energy comes out at -1.5410 eV per atom. The excess energy over the best structure of this formula in the dataset is 0.00 kcal/mol of atoms. As for the calculated total energy: -6.508 eV per atom. The total magnetization comes out at 0.00 μB/cell.

The structure belongs to space group C2/m (No. 12); the cell edges are 7.270, 12.587 and 7.399 Å and the angles 90.00°, 109.10° and 90.00°. The inequivalent atoms are Y at (0.207, 0.000, 0.207), Y at (0.246, 0.181, 0.784), Te at (0.000, 0.000, 0.500), Te at (0.000, 0.343, 0.500), Te at (0.000, 0.500, 0.000) and S at (0.000, 0.169, 0.000).

=====

(9)
A plane-wave DFT calculation with PBE was carried out for a relaxed structure of AlInRe2Pd.

As for the formation energy: 1.5837 eV per atom. As for the calculated total energy: -5.730 eV per atom. The total magnetization comes out at 2.79 μB/cell.

The structure belongs to space group P4/mmm (No. 123); the cell edges are 4.859, 4.859 and 4.461 Å and the angles 90.00°, 90.00° and 90.00°. The inequivalent atoms are Al at (0.000, 0.000, 0.000), In at (0.500, 0.500, 0.000), Re at (0.000, 0.500, 0.500) and Pd at (0.000, 0.000, 0.500).

=====

(10)
A plane-wave DFT calculation with PBE was carried out for a relaxed structure of Sr2HgBi3Pd4.

As for the formation energy: -0.5585 eV per atom. As for the calculated total energy: -4.167 eV per atom. The total magnetization comes out at 0.00 μB/cell.

The structure belongs to space group P-4m2 (No. 115); the cell edges are 4.869, 4.869 and 10.807 Å and the angles 90.00°, 90.00° and 90.00°. The inequivalent atoms are Sr at (0.000, 0.500, 0.243), Hg at (0.000, 0.000, 0.500), Bi at (0.000, 0.500, 0.875), Bi at (0.500, 0.500, 0.500), Pd at (0.000, 0.000, 0.000), Pd at (0.000, 0.500, 0.625) and Pd at (0.500, 0.500, 0.000).

=====

(11)
A plane-wave DFT calculation with PBE was carried out for a relaxed structure of CaPrEu2.

As for the formation energy: 0.0829 eV per atom. The excess energy over the best structure of this formula in the dataset is 0.98 kcal/mol of atoms. As for the calculated total energy: -6.750 eV per atom. The total magnetization comes out at 58.42 μB/cell.

The structure belongs to space group Fm-3m (No. 225); the cell edges are 8.608, 8.608 and 8.608 Å and the angles 90.00°, 90.00° and 90.00°. The inequivalent atoms are Ca at (0.000, 0.000, 0.000), Pr at (0.000, 0.000, 0.500) and Eu at (0.250, 0.250, 0.250).

=====

(12)
A plane-wave DFT calculation with PBE was carried out for a relaxed structure of Tb3Al8Ni3.

As for the formation energy: -0.5304 eV per atom. As for the calculated total energy: -4.900 eV per atom. The total magnetization comes out at 0.00 μB/cell.

The structure belongs to space group C2/m (No. 12); the cell edges are 15.521, 4.365 and 8.785 Å and the angles 90.00°, 124.24° and 90.00°. The inequivalent atoms are Tb at (0.000, 0.000, 0.000), Tb at (0.217, 0.500, 0.709), Al at (0.009, 0.500, 0.675), Al at (0.131, 0.000, 0.427), Al at (0.149, 0.000, 0.864), Al at (0.149, 0.500, 0.274), Ni at (0.000, 0.000, 0.500) and Ni at (0.153, 0.500, 0.001).

=====

(13)
A plane-wave DFT calculation with PBE was carried out for a relaxed structure of Pu2Ga5Ag3.

As for the formation energy: -0.1788 eV per atom. As for the calculated total energy: -5.414 eV per atom. The total magnetization comes out at 45.25 μB/cell.

The structure belongs to space group Ibam (No. 72); the cell edges are 10.517, 12.903 and 6.003 Å and the angles 90.00°, 90.00° and 90.00°. The inequivalent atoms are Pu at (0.231, 0.132, 0.000), Ga at (0.000, 0.000, 0.250), Ga at (0.000, 0.288, 0.250), Ga at (0.163, 0.391, 0.000), Ag at (0.000, 0.500, 0.250) and Ag at (0.101, 0.144, 0.500).

=====

(14)
A plane-wave DFT calculation with PBE was carried out for a relaxed structure of VMoOs.

As for the formation energy: -0.0701 eV per atom. The excess energy over the best structure of this formula in the dataset is 0.10 kcal/mol of atoms. As for the calculated total energy: -10.463 eV per atom. The total magnetization comes out at 0.00 μB/cell.

The structure belongs to space group P4/nmm (No. 129, origin choice 2); the cell edges are 3.060, 3.060 and 9.339 Å and the angles 90.00°, 90.00° and 90.00°. The inequivalent atoms are V at (0.250, 0.250, 0.246), Mo at (0.250, 0.250, 0.582) and Os at (0.250, 0.250, 0.900).

=====

(15)
A plane-wave DFT calculation with PBE was carried out for a relaxed structure of Na2NpInSe5.

The uncorrected formation energy comes out at -0.8707 eV per atom. As for the calculated total energy: -4.842 eV per atom. The total magnetization comes out at 7.97 μB/cell.

The structure belongs to space group Cmc2_1 (No. 36); the cell edges are 4.162, 17.814 and 14.086 Å and the angles 90.00°, 90.00° and 90.00°. The inequivalent atoms are Na at (0.000, 0.087, 0.000), Na at (0.000, 0.104, 0.675), Np at (0.000, 0.235, 0.367), In at (0.000, 0.427, 0.765), Se at (0.000, 0.073, 0.385), Se at (0.000, 0.264, 0.995), Se at (0.000, 0.276, 0.731), Se at (0.000, 0.380, 0.344) and Se at (0.000, 0.497, 0.610).

=====

(16)
A plane-wave DFT calculation with PBE was carried out for a relaxed structure of MgInHCl2.

As for the calculated total energy: -3.162 eV per atom. The total magnetization comes out at 0.00 μB/cell.

The structure belongs to space group P4/mmm (No. 123); the cell edges are 5.269, 5.269 and 3.794 Å and the angles 90.00°, 90.00° and 90.00°. The inequivalent atoms are Mg at (0.000, 0.000, 0.000), In at (0.500, 0.500, 0.500), H at (0.000, 0.000, 0.500) and Cl at (0.000, 0.500, 0.000).

=====

(17)
A plane-wave DFT calculation with PBE was carried out for a relaxed structure of Pr9Ho2In.

As for the formation energy: -0.0729 eV per atom. As for the calculated total energy: -4.649 eV per atom. The total magnetization comes out at 0.00 μB/cell.

The structure belongs to space group P4/mmm (No. 123); the cell edges are 5.107, 5.107 and 15.583 Å and the angles 90.00°, 90.00° and 90.00°. The inequivalent atoms are Pr at (0.000, 0.000, 0.000), Pr at (0.000, 0.000, 0.331), Pr at (0.000, 0.500, 0.162), Pr at (0.000, 0.500, 0.500), Ho at (0.500, 0.500, 0.332) and In at (0.500, 0.500, 0.000).

=====

(18)
A plane-wave DFT calculation with PBE was carried out for a relaxed structure of RbUCuSe4.

The uncorrected formation energy comes out at -0.8964 eV per atom. As for the calculated total energy: -5.224 eV per atom. The total magnetization comes out at 2.40 μB/cell.

The structure belongs to space group P2_1/m (No. 11); the cell edges are 7.056, 5.780 and 9.712 Å and the angles 90.00°, 106.50° and 90.00°. The inequivalent atoms are Rb at (0.242, 0.250, 0.051), U at (0.269, 0.250, 0.554), Cu at (0.263, 0.750, 0.335), Se at (0.015, 0.510, 0.695), Se at (0.428, 0.750, 0.585) and Se at (0.469, 0.750, 0.180).

=====

(19)
A plane-wave DFT calculation with PBE was carried out for a relaxed structure of MgNO.

The uncorrected formation energy comes out at -1.6319 eV per atom. As for the calculated total energy: -6.591 eV per atom. The total magnetization comes out at 0.00 μB/cell.

The structure belongs to space group P2_1/c (No. 14); the cell edges are 8.614, 2.955 and 5.838 Å and the angles 90.00°, 99.57° and 90.00°. The inequivalent atoms are Mg at (0.125, 0.248, 0.406), N at (0.438, 0.065, 0.484) and O at (0.130, 0.750, 0.157).

=====

(20)
A plane-wave DFT calculation with PBE was carried out for a relaxed structure of Pu5TcGe3.

As for the formation energy: -0.1837 eV per atom. As for the calculated total energy: -10.837 eV per atom. The total magnetization comes out at 105.78 μB/cell.

The structure belongs to space group I4/mcm (No. 140); the cell edges are 7.532, 7.532 and 14.551 Å and the angles 90.00°, 90.00° and 90.00°. The inequivalent atoms are Pu at (0.000, 0.000, 0.000), Pu at (0.189, 0.311, 0.144), Tc at (0.000, 0.500, 0.250), Ge at (0.000, 0.000, 0.250) and Ge at (0.117, 0.383, 0.500).